No. 1
Density functional theory data (PBE) for a relaxed structure of InPO2.

POSCAR file:
```
InPO2
1.0
0.0000 2.9081 2.9081
2.9081 0.0000 2.9081
2.9081 2.9081 0.0000
In P O
1 1 2
direct
0.5000 0.5000 0.5000
0.0000 0.0000 0.0000
0.7500 0.7500 0.7500
0.2500 0.2500 0.2500
```

Magnetization   0.000 μB per atom
Excess energy over the best structure of this formula in the dataset   944 meV/atom
Final energy   -4.44 eV/atom
Energy relative to the elements, uncorrected   0.07 eV per atom

No. 2
Density functional theory data (PBE) for a relaxed structure of Y8AsS6.

POSCAR file:
```
Y8AsS6
1.0
-0.3841 -2.6657 2.9317
3.4633 -7.2020 -6.0947
6.3958 5.3005 5.6575
S As Y
6 1 8
direct
0.2467 0.5193 0.6528
0.7533 0.8665 0.5193
0.7533 0.6528 0.1335
0.2467 0.3472 0.8665
0.7533 0.4807 0.3472
0.2467 0.1335 0.4807
0.5000 0.0000 0.0000
0.2531 0.6667 0.3333
0.2577 0.0326 0.7068
0.2577 0.6743 0.9674
0.7423 0.7068 0.6743
0.7469 0.3333 0.6667
0.2577 0.2932 0.3257
0.7423 0.3257 0.0326
0.7423 0.9674 0.2932
```

Magnetization   0.000 μB per atom
Final energy   -6.97 eV/atom
Energy relative to the elements, uncorrected   -1.56 eV per atom

No. 3
Density functional theory data (PBE) for a relaxed structure of SiRh2W.

POSCAR file:
```
SiRh2W
1.0
-0.8806 -2.5699 -0.6770
0.1138 -1.0064 3.6721
-5.0709 1.5819 0.5908
Rh W Si
2 1 1
direct
0.0000 0.0000 0.0026
0.0000 0.0000 0.4974
0.5000 0.5000 0.7500
0.5000 0.5000 0.2500
```

Magnetization   0.000 μB per atom
Final energy   -8.56 eV/atom
Energy relative to the elements, uncorrected   -0.30 eV per atom

No. 4
Density functional theory data (PBE) for a relaxed structure of Sm8Te4PdSe3.

POSCAR file:
```
Sm8Te4PdSe3
1.0
8.5840 0.0000 0.0000
0.0000 8.7071 0.0808
-4.2920 -4.2881 6.0722
Sm Te Se Pd
8 4 3 1
direct
0.2525 0.2780 0.0152
0.2372 0.7220 0.9848
0.2373 0.7221 0.4746
0.2599 0.2797 0.5197
0.7628 0.2780 0.0152
0.7401 0.7203 0.4803
0.7627 0.2779 0.5254
0.7475 0.7220 0.9848
0.0000 0.0000 0.0000
0.0000 0.0000 0.5000
0.5000 0.0000 0.5000
0.5000 0.0000 0.0000
0.5000 0.5000 0.0000
0.5000 0.5000 0.5000
0.0000 0.5000 0.5000
0.0000 0.5000 0.0000
```

Magnetization   0.000 μB per atom
Final energy   -5.61 eV/atom
Energy relative to the elements, uncorrected   -1.49 eV per atom

No. 5
Density functional theory data (PBE) for a relaxed structure of Cd5CuAu6.

POSCAR file:
```
Cd5CuAu6
1.0
-2.8820 -3.6181 -1.4740
-0.0879 -2.3992 6.1313
-6.6386 1.6522 4.0298
Au Cu Cd
6 1 5
direct
0.5000 0.2256 0.9998
0.1900 0.3905 0.6876
0.8100 0.6095 0.3124
0.8115 0.0786 0.3115
0.1885 0.9214 0.6885
0.5000 0.7744 0.0002
0.0000 0.0000 0.0000
0.2930 0.8231 0.3547
0.6879 0.6654 0.6698
0.3121 0.3346 0.3302
0.7070 0.1769 0.6453
0.0000 0.5000 0.0000
```

Magnetization   0.000 μB per atom
Formation energy   -0.141 eV/atom
Final energy   -2.50 eV/atom

No. 6
Density functional theory data (PBE) for a relaxed structure of Ho3Mg2In3.

POSCAR file:
```
Ho3Mg2In3
1.0
-1.1211 0.5717 4.5278
4.4691 -4.3972 -0.7770
10.7732 10.7171 1.3145
Ho In Mg
6 6 4
direct
0.3421 0.6843 0.7500
0.6579 0.3157 0.2500
0.9328 0.8656 0.1184
0.0672 0.1344 0.8816
0.0672 0.1344 0.6184
0.9328 0.8656 0.3816
0.3992 0.7984 0.5512
0.6008 0.2016 0.0512
0.3624 0.7248 0.2500
0.6376 0.2752 0.7500
0.6008 0.2016 0.4488
0.3992 0.7984 0.9488
0.7753 0.5507 0.9115
0.2247 0.4493 0.4115
0.7753 0.5507 0.5885
0.2247 0.4493 0.0885
```

Magnetization   0.057 μB per atom
Formation energy   -0.321 eV/atom
Final energy   -3.46 eV/atom

No. 7
Density functional theory data (PBE) for a relaxed structure of LaBe2Tc.

POSCAR file:
```
LaBe2Tc
1.0
-3.8681 2.0019 1.2415
-0.7656 -2.7019 -3.5531
-0.6364 -2.4883 2.0293
Be Tc La
2 1 1
direct
0.0000 0.0000 0.0000
0.5000 0.5000 0.0000
0.0000 0.5000 0.5000
0.5000 0.0000 0.5000
```

Magnetization   0.000 μB per atom
Excess energy over the best structure of this formula in the dataset   476 meV/atom
Formation energy   0.466 eV/atom
Final energy   -5.22 eV/atom

No. 8
Density functional theory data (PBE) for a relaxed structure of Cs3Rb2Au3.

POSCAR file:
```
Cs3Rb2Au3
1.0
7.1314 0.0000 0.0000
-3.5657 8.0718 0.0335
0.0000 0.2286 17.2656
Rb Cs Au
4 6 6
direct
0.3296 0.6591 0.4322
0.3357 0.6715 0.0700
0.6681 0.3363 0.9325
0.9408 0.8816 0.6172
0.0470 0.0940 0.3797
0.9527 0.9055 0.8766
0.7488 0.4975 0.2504
0.6570 0.3139 0.5767
0.0530 0.1061 0.1189
0.2550 0.5099 0.7466
0.1512 0.3024 0.5583
0.1662 0.3324 0.9408
0.7759 0.5518 0.7528
0.8399 0.6797 0.0567
0.8346 0.6691 0.4443
0.2246 0.4492 0.2508
```

Magnetization   0.025 μB per atom
Excess energy over the best structure of this formula in the dataset   32 meV/atom
Formation energy   -0.213 eV/atom
Final energy   -2.00 eV/atom

No. 9
Density functional theory data (PBE) for a relaxed structure of NdDyH2.

POSCAR file:
```
NdDyH2
1.0
-0.5405 -3.3104 -1.1760
2.5738 -2.4336 0.2959
-1.4338 -3.4905 5.1128
Nd Dy H
1 1 2
direct
0.4905 0.4905 0.5284
0.6694 0.6694 0.9918
0.2680 0.2680 0.1961
0.0721 0.0721 0.7838
```

Magnetization   0.000 μB per atom
Excess energy over the best structure of this formula in the dataset   89 meV/atom
Final energy   -4.31 eV/atom

No. 10
Density functional theory data (PBE) for a relaxed structure of Al2CdTe.

POSCAR file:
```
Al2CdTe
1.0
3.9609 0.0000 0.0000
0.0000 3.0169 -0.0003
0.0000 0.0019 7.6321
Al Te Cd
2 1 1
direct
0.0000 0.7491 0.4666
0.0000 0.7509 0.0334
0.5000 0.7500 0.7500
0.5000 0.2500 0.2500
```

Magnetization   0.000 μB per atom
Excess energy over the best structure of this formula in the dataset   60 meV/atom
Final energy   -2.80 eV/atom
Energy relative to the elements, uncorrected   0.09 eV per atom

No. 11
Density functional theory data (PBE) for a relaxed structure of Tm4BTe2S.

POSCAR file:
```
Tm4BTe2S
1.0
3.9643 0.0000 0.0000
0.0000 6.9213 0.1354
0.0000 -2.4092 6.8626
Te B Tm S
2 1 4 1
direct
0.0000 0.5000 0.5000
0.5000 0.0000 0.5000
0.5000 0.5000 0.0000
0.5000 0.7418 0.7975
0.5000 0.2582 0.2025
0.0000 0.2863 0.8009
0.0000 0.7137 0.1991
0.0000 0.0000 0.0000
```

Magnetization   0.000 μB per atom
Final energy   -5.62 eV/atom
Energy relative to the elements, uncorrected   -1.24 eV per atom

No. 12
Density functional theory data (PBE) for a relaxed structure of HfTi2Ru2.

POSCAR file:
```
HfTi2Ru2
1.0
-2.4645 1.4613 1.2085
-1.9060 -1.9176 -1.5685
-0.9301 -6.5135 5.9790
Hf Ru Ti
1 2 2
direct
0.0000 0.0000 0.0000
0.5000 0.4025 0.1949
0.5000 0.5975 0.8051
0.0000 0.8183 0.3635
0.0000 0.1817 0.6365
```

Magnetization   0.294 μB per atom
Excess energy over the best structure of this formula in the dataset   0 meV/atom
Formation energy   -0.372 eV/atom
Final energy   -9.23 eV/atom

No. 13
Density functional theory data (PBE) for a relaxed structure of Tb4Ge3Pd.

POSCAR file:
```
Tb4Ge3Pd
1.0
4.1643 0.0000 0.0000
0.0000 4.1080 0.0000
0.0000 0.0000 10.9059
Ge Tb Pd
3 4 1
direct
0.0000 0.5000 0.5861
0.5000 0.0000 0.9148
0.0000 0.0000 0.4185
0.5000 0.5000 0.3597
0.0000 0.0000 0.1357
0.5000 0.0000 0.6398
0.0000 0.5000 0.8635
0.5000 0.5000 0.0818
```

Magnetization   0.000 μB per atom
Formation energy   -0.861 eV/atom
Final energy   -5.56 eV/atom

No. 14
Density functional theory data (PBE) for a relaxed structure of Ta2InTc.

POSCAR file:
```
Ta2InTc
1.0
-2.9968 0.6550 -4.1202
-2.4526 -4.3365 -1.2510
0.5239 2.5894 4.4053
Ta In Tc
2 1 1
direct
0.5000 0.5000 0.0000
0.0000 0.0000 0.0000
0.7500 0.2500 0.5000
0.2500 0.7500 0.5000
```

Magnetization   0.000 μB per atom
Formation energy   0.123 eV/atom
Final energy   -9.08 eV/atom

No. 15
Density functional theory data (PBE) for a relaxed structure of NdHg2Pd5.

POSCAR file:
```
NdHg2Pd5
1.0
-4.1146 -1.1413 -0.2870
0.9265 -3.7819 1.7757
0.2376 5.5813 6.5644
Pd Hg Nd
5 2 1
direct
0.1279 0.6287 0.2567
0.6287 0.1279 0.2567
0.3713 0.8721 0.7433
0.5000 0.5000 0.0000
0.8721 0.3713 0.7433
0.7469 0.7469 0.4943
0.2531 0.2531 0.5057
0.0000 0.0000 0.0000
```

Magnetization   0.000 μB per atom
Formation energy   -0.437 eV/atom
Final energy   -4.35 eV/atom

No. 16
Density functional theory data (PBE) for a relaxed structure of NbTePdN2.

POSCAR file:
```
NbTePdN2
1.0
-1.0087 3.8439 0.2767
-3.8062 -0.9487 -0.6948
-0.9130 -0.6650 5.9092
Pd Nb N Te
1 1 2 1
direct
0.5000 0.5000 0.5000
0.0000 0.0000 0.0000
0.0000 0.5000 0.0000
0.5000 0.0000 0.0000
0.0000 0.0000 0.5000
```

Magnetization   0.176 μB per atom
Excess energy over the best structure of this formula in the dataset   0 meV/atom
Final energy   -6.59 eV/atom
Energy relative to the elements, uncorrected   0.43 eV per atom

No. 17
Density functional theory data (PBE) for a relaxed structure of TlNiRh2.

POSCAR file:
```
TlNiRh2
1.0
-2.5239 0.5989 3.6133
-4.3270 -1.0240 -0.1150
-1.5140 -3.5172 2.2632
Ni Tl Rh
1 1 2
direct
0.5000 0.5000 0.5000
0.7500 0.7500 0.7500
0.0000 0.0000 0.0000
0.2500 0.2500 0.2500
```

Magnetization   0.160 μB per atom
Formation energy   0.274 eV/atom
Final energy   -5.44 eV/atom

No. 18
Density functional theory data (PBE) for a relaxed structure of KCo2Br.

POSCAR file:
```
KCo2Br
1.0
-1.1803 4.8198 3.3569
-0.7593 -2.3614 3.1235
3.8360 0.1899 1.0760
Co K Br
2 1 1
direct
0.0000 0.5000 0.5000
0.0000 0.0000 0.0000
0.5000 0.5000 0.0000
0.5000 0.0000 0.5000
```

Magnetization   1.040 μB per atom
Excess energy over the best structure of this formula in the dataset   526 meV/atom
Final energy   -3.50 eV/atom
Energy relative to the elements, uncorrected   0.75 eV per atom

No. 19
Density functional theory data (PBE) for a relaxed structure of Ce4Cu3Pt.

POSCAR file:
```
Ce4Cu3Pt
1.0
3.7474 0.0000 0.0000
0.0000 4.3982 0.0000
0.0000 0.0000 11.1155
Cu Ce Pt
3 4 1
direct
0.0000 0.0000 0.4329
0.0000 0.5000 0.5662
0.5000 0.0000 0.9244
0.5000 0.5000 0.3569
0.0000 0.5000 0.8573
0.0000 0.0000 0.1409
0.5000 0.0000 0.6437
0.5000 0.5000 0.0777
```

Magnetization   0.463 μB per atom
Formation energy   -0.307 eV/atom
Final energy   -5.56 eV/atom

No. 20
Density functional theory data (PBE) for a relaxed structure of HfScW2.

POSCAR file:
```
HfScW2
1.0
-4.6440 -0.0560 -0.7426
-2.9227 1.7325 3.2523
-2.3008 4.0216 -0.8091
Hf W Sc
1 2 1
direct
0.5000 0.5000 0.5000
0.2500 0.2500 0.2500
0.7500 0.7500 0.7500
0.0000 0.0000 0.0000
```

Magnetization   0.000 μB per atom
Excess energy over the best structure of this formula in the dataset   0 meV/atom
Formation energy   0.383 eV/atom
Final energy   -10.16 eV/atom

No. 21
Density functional theory data (PBE) for a relaxed structure of BeZnOs2.

POSCAR file:
```
BeZnOs2
1.0
-0.8638 -3.1491 3.7339
2.5655 -4.2454 0.0001
0.1720 4.9549 0.1573
Os Be Zn
2 1 1
direct
0.4630 0.4630 0.0000
0.0370 0.0370 0.0000
0.2500 0.7500 0.5000
0.7500 0.2500 0.5000
```

Magnetization   0.000 μB per atom
Formation energy   0.155 eV/atom
Final energy   -6.71 eV/atom

No. 22
Density functional theory data (PBE) for a relaxed structure of LiSc2PaN4.

POSCAR file:
```
LiSc2PaN4
1.0
3.3616 0.0000 0.0000
0.0000 5.4570 0.2344
0.0000 -1.7762 5.4029
N Sc Li Pa
4 2 1 1
direct
0.0000 0.2178 0.7324
0.0000 0.7822 0.2676
0.5000 0.2529 0.2604
0.5000 0.7471 0.7396
0.0000 0.5000 0.5000
0.5000 0.0000 0.5000
0.5000 0.5000 0.0000
0.0000 0.0000 0.0000
```

Magnetization   0.000 μB per atom
Final energy   -8.69 eV/atom
Energy relative to the elements, uncorrected   -1.52 eV per atom

No. 23
Density functional theory data (PBE) for a relaxed structure of RbRhSe2N.

POSCAR file:
```
RbRhSe2N
1.0
5.5572 0.0000 0.0000
0.0000 5.5572 0.0000
0.0000 0.0000 3.6584
Rh Rb Se N
1 1 2 1
direct
0.0000 0.0000 0.0000
0.5000 0.5000 0.5000
0.5000 0.0000 0.0000
0.0000 0.5000 0.0000
0.0000 0.0000 0.5000
```

Magnetization   0.000 μB per atom
Excess energy over the best structure of this formula in the dataset   0 meV/atom
Final energy   -4.60 eV/atom
Energy relative to the elements, uncorrected   0.12 eV per atom

No. 24
Density functional theory data (PBE) for a relaxed structure of CeBiPt5.

POSCAR file:
```
CeBiPt5
1.0
-3.0390 -0.7005 4.5472
7.6827 -2.4922 4.7506
1.6594 10.2347 2.6857
Pt Bi Ce
20 4 4
direct
0.2500 0.5150 0.9992
0.4989 0.8956 0.2960
0.9989 0.1044 0.7040
0.2500 0.1556 0.2707
0.7500 0.4850 0.0008
0.2500 0.0150 0.5008
0.7500 0.8444 0.7293
0.4989 0.3956 0.2040
0.9989 0.6044 0.7960
0.5011 0.1044 0.7040
0.7500 0.5743 0.5739
0.7500 0.3444 0.7707
0.2500 0.9257 0.0739
0.0011 0.8956 0.2960
0.7500 0.0743 0.9261
0.2500 0.6556 0.2293
0.7500 0.9850 0.4992
0.5011 0.6044 0.7960
0.2500 0.4257 0.4261
0.0011 0.3956 0.2040
0.7500 0.6306 0.3290
0.7500 0.1306 0.1710
0.2500 0.3694 0.6710
0.2500 0.8694 0.8290
0.2500 0.2244 0.9672
0.7500 0.2756 0.4672
0.2500 0.7244 0.5328
0.7500 0.7756 0.0328
```

Magnetization   0.044 μB per atom
Formation energy   -0.545 eV/atom
Final energy   -6.26 eV/atom